No. 1
Computed, not measured: a crystal of Fe2CuSnSe relaxed with PBEsol at the meta-GGA SCAN level of DFT.

Computed properties:
**Total magnetization**: 6.65 μB per formula unit
**Formation energy (no corrections)**: 3.8 eV per formula unit
**E**: -103.61 eV per cell

abc: 4.516 4.516 4.691
angles: 90.00 90.00 90.00
Last column: magnetic moment on the atom in μB.
Positions (direct):
Cu: 0.000 0.000 0.000  0.12
Sn: 0.000 0.000 0.500  0.02
Se: 0.500 0.500 0.500  0.07
Fe: 0.000 0.500 0.000  3.18
Fe: 0.500 0.000 0.000  3.18

=====

No. 2
Computed, not measured: a crystal of Tl2FeCu3Se4 relaxed with PBEsol at the meta-GGA SCAN level of DFT.

Computed properties:
**Total magnetization**: 4.22 μB per formula unit
**Formation energy (no corrections)**: -3.0 eV per formula unit
**E**: -291.72 eV per cell

abc: 3.801 3.801 14.058
angles: 90.00 90.00 90.00
Last column: magnetic moment on the atom in μB.
Positions (direct):
Tl: 0.500 0.000 0.738  0.01
Tl: 0.000 0.500 0.262  0.01
Fe: 0.500 0.500 0.000  3.37
Cu: 0.000 0.000 0.500  -0.01
Cu: 0.000 0.000 0.000  0.19
Cu: 0.500 0.500 0.500  0.00
Se: 0.000 0.500 0.894  0.19
Se: 0.500 0.000 0.390  0.00
Se: 0.500 0.000 0.106  0.19
Se: 0.000 0.500 0.610  0.00

=====

No. 3
Computed, not measured: a crystal of FeCuSi relaxed with PBEsol at the meta-GGA SCAN level of DFT.

Computed properties:
**Total magnetization**: 3.19 μB per formula unit
**Formation energy (no corrections)**: 0.7 eV per formula unit
**E**: -42.63 eV per cell

abc: 3.840 3.840 3.840
angles: 60.00 60.00 60.00
Last column: magnetic moment on the atom in μB.
Positions (direct):
Cu: 0.250 0.250 0.250  0.11
Fe: 0.000 0.000 0.000  3.09
Si: 0.500 0.500 0.500  -0.01

=====

No. 4
Computed, not measured: a crystal of FeCuSi4 relaxed with PBEsol at the meta-GGA SCAN level of DFT.

Computed properties:
**Total magnetization**: 2.88 μB per formula unit
**Formation energy (no corrections)**: 3.7 eV per formula unit
**E**: -69.68 eV per cell

abc: 4.817 4.817 4.817
angles: 60.00 60.00 60.00
Last column: magnetic moment on the atom in μB.
Positions (direct):
Cu: 0.750 0.750 0.750  -0.03
Fe: 0.000 0.000 0.000  2.92
Si: 0.876 0.375 0.375  0.04
Si: 0.375 0.375 0.375  0.04
Si: 0.375 0.375 0.876  0.04
Si: 0.375 0.876 0.375  0.04

=====

No. 5
Computed, not measured: a crystal of Fe6CuSi relaxed with PBEsol at the meta-GGA SCAN level of DFT.

Computed properties:
**Total magnetization**: 14.79 μB per formula unit
**Formation energy (no corrections)**: -1.1 eV per formula unit
**E**: -540.21 eV per cell

abc: 6.105 6.105 9.980
angles: 90.00 90.00 109.65
Last column: magnetic moment on the atom in μB.
Positions (direct):
Cu: 0.253 0.747 0.000  0.14
Cu: 0.747 0.253 0.000  0.14
Cu: 0.500 0.500 0.751  0.14
Cu: 0.500 0.500 0.249  0.14
Fe: 0.251 0.749 0.749  2.54
Fe: 0.878 0.628 0.874  2.62
Fe: 0.122 0.372 0.874  2.62
Fe: 0.749 0.251 0.749  2.54
Fe: 0.372 0.122 0.874  2.62
Fe: 0.628 0.878 0.874  2.62
Fe: 0.500 0.500 0.500  2.53
Fe: 0.124 0.373 0.625  2.47
Fe: 0.373 0.124 0.625  2.47
Fe: 0.251 0.749 0.251  2.54
Fe: 0.876 0.627 0.375  2.47
Fe: 0.124 0.373 0.375  2.47
Fe: 0.749 0.251 0.251  2.54
Fe: 0.373 0.124 0.375  2.47
Fe: 0.627 0.876 0.375  2.47
Fe: 0.500 0.500 0.000  2.73
Fe: 0.122 0.372 0.126  2.62
Fe: 0.372 0.122 0.126  2.62
Fe: 0.000 0.000 0.500  2.43
Fe: 0.627 0.876 0.625  2.47
Fe: 0.876 0.627 0.625  2.47
Fe: 0.000 0.000 0.000  2.50
Fe: 0.628 0.878 0.126  2.62
Fe: 0.878 0.628 0.126  2.62
Si: 0.253 0.747 0.500  -0.18
Si: 0.747 0.253 0.500  -0.18
Si: 0.000 0.000 0.752  -0.18
Si: 0.000 0.000 0.248  -0.18

=====

No. 6
Computed, not measured: a crystal of FeCuSi relaxed with PBEsol at the meta-GGA SCAN level of DFT.

Computed properties:
**Total magnetization**: 1.93 μB per formula unit
**Formation energy (no corrections)**: -0.1 eV per formula unit
**E**: -43.47 eV per cell

abc: 2.523 3.899 3.899
angles: 120.00 90.00 90.00
Last column: magnetic moment on the atom in μB.
Positions (direct):
Cu: 0.121 0.000 0.000  -0.02
Fe: 0.642 0.333 0.667  2.15
Si: 0.238 0.667 0.333  -0.08

=====

No. 7
Computed, not measured: a crystal of Fe2CuSi relaxed with PBEsol at the meta-GGA SCAN level of DFT.

Computed properties:
**Total magnetization**: 3.60 μB per formula unit
**Formation energy (no corrections)**: 0.0 eV per formula unit
**E**: -61.44 eV per cell

abc: 2.732 2.732 5.718
angles: 90.00 90.00 90.00
Last column: magnetic moment on the atom in μB.
Positions (direct):
Cu: 0.500 0.500 0.500  0.13
Fe: 0.000 0.000 0.769  1.92
Fe: 0.000 0.000 0.231  1.92
Si: 0.500 0.500 0.000  -0.14

=====

No. 8
Computed, not measured: a crystal of Fe2CuSi relaxed with PBEsol at the meta-GGA SCAN level of DFT.

Computed properties:
**Total magnetization**: 4.58 μB per formula unit
**Formation energy (no corrections)**: -0.5 eV per formula unit
**E**: -61.99 eV per cell

abc: 3.621 3.620 4.197
angles: 115.55 115.55 90.00
Last column: magnetic moment on the atom in μB.
Positions (direct):
Cu: 0.750 0.250 0.500  0.04
Fe: 0.000 0.000 0.000  2.62
Fe: 0.250 0.750 0.500  2.13
Si: 0.500 0.500 0.000  -0.08

=====

No. 9
Computed, not measured: a crystal of Zn2FeCuSn relaxed with PBEsol at the meta-GGA SCAN level of DFT.

Computed properties:
**Formation enthalpy at 0 K**: 3.41 eV/f.u.
**Total magnetization**: 1.89 μB per formula unit
**E**: -92.87 eV per cell

abc: 4.516 4.516 4.707
angles: 90.00 90.00 90.00
Last column: magnetic moment on the atom in μB.
Positions (direct):
Zn: 0.000 0.500 0.000  -0.04
Zn: 0.500 0.000 0.000  -0.04
Sn: 0.000 0.000 0.500  -0.09
Cu: 0.500 0.500 0.500  0.02
Fe: 0.000 0.000 0.000  2.08

=====

No. 10
Computed, not measured: a crystal of Sr2FeCu relaxed with PBEsol at the meta-GGA SCAN level of DFT.

Computed properties:
**Formation enthalpy at 0 K**: 2.55 eV/f.u.
**Polymorph energy (0 for the lowest one)**: 367 meV/atom
**Total magnetization**: 2.44 μB per formula unit
**E**: -75.33 eV per cell

abc: 3.578 4.201 8.203
angles: 99.60 90.00 115.20
Last column: magnetic moment on the atom in μB.
Positions (direct):
Cu: 0.000 0.000 0.500  0.00
Fe: 0.500 0.000 0.000  2.93
Sr: 0.747 0.494 0.748  -0.06
Sr: 0.253 0.506 0.252  -0.06

=====

No. 11
Computed, not measured: a crystal of Sr2FeCu relaxed with PBEsol at the meta-GGA SCAN level of DFT.

Computed properties:
**Formation enthalpy at 0 K**: 1.09 eV/f.u.
**Polymorph energy (0 for the lowest one)**: 0 meV/atom
**Total magnetization**: 2.36 μB per formula unit
**E**: -76.79 eV per cell

abc: 4.212 4.529 6.037
angles: 112.03 90.00 90.00
Last column: magnetic moment on the atom in μB.
Positions (direct):
Cu: 0.000 0.800 0.599  0.08
Fe: 0.500 0.706 0.411  2.81
Sr: 0.000 0.107 0.215  -0.07
Sr: 0.500 0.394 0.787  -0.06

=====

No. 12
Computed, not measured: a crystal of SrFe2Cu relaxed with PBEsol at the meta-GGA SCAN level of DFT.

Computed properties:
**Formation enthalpy at 0 K**: 4.05 eV/f.u.
**Total magnetization**: 5.79 μB per formula unit
**E**: -69.68 eV per cell

abc: 2.833 2.833 9.259
angles: 81.20 81.20 60.00
Last column: magnetic moment on the atom in μB.
Positions (direct):
Cu: 0.000 0.000 0.000  0.11
Fe: 0.263 0.263 0.210  3.08
Fe: 0.737 0.737 0.790  3.08
Sr: 0.500 0.500 0.500  -0.16

=====

No. 13
Computed, not measured: a crystal of Sr2FeCu relaxed with PBEsol at the meta-GGA SCAN level of DFT.

Computed properties:
**Formation enthalpy at 0 K**: 2.45 eV/f.u.
**Polymorph energy (0 for the lowest one)**: 341 meV/atom
**Total magnetization**: 2.38 μB per formula unit
**E**: -75.43 eV per cell

abc: 4.357 4.357 6.023
angles: 111.20 111.20 90.00
Last column: magnetic moment on the atom in μB.
Positions (direct):
Cu: 0.500 0.500 0.000  0.00
Fe: 0.250 0.750 0.500  2.76
Sr: 0.000 0.000 0.000  -0.07
Sr: 0.750 0.250 0.500  -0.07

=====

No. 14
Computed, not measured: a crystal of SrFe2Cu relaxed with PBEsol at the meta-GGA SCAN level of DFT.

Computed properties:
**Formation enthalpy at 0 K**: 1.17 eV/f.u.
**Total magnetization**: 0.01 μB per formula unit
**E**: -72.56 eV per cell

abc: 3.937 3.937 5.818
angles: 70.23 70.23 60.00
Last column: magnetic moment on the atom in μB.
Positions (direct):
Cu: 0.698 0.698 0.905  0.02
Fe: 0.988 0.988 0.036  2.18
Fe: 0.314 0.314 0.058  -2.18
Sr: 0.503 0.503 0.490  0.00

=====

No. 15
Computed, not measured: a crystal of Sr2TaFeCu relaxed with PBEsol at the meta-GGA SCAN level of DFT.

Computed properties:
**Formation enthalpy at 0 K**: 6.26 eV/f.u.
**Total magnetization**: 6.87 μB per formula unit
**E**: -138.20 eV per cell

abc: 4.442 5.589 5.589
angles: 90.00 90.00 90.00
Last column: magnetic moment on the atom in μB.
Positions (direct):
Sr: 0.000 0.000 0.500  0.05
Sr: 0.000 0.500 0.000  0.05
Fe: 0.500 0.000 0.000  3.09
Cu: 0.000 0.000 0.000  0.13
Ta: 0.500 0.500 0.500  2.04

=====

No. 16
Computed, not measured: a crystal of TaFe2Cu relaxed with PBEsol at the meta-GGA SCAN level of DFT.

Computed properties:
**Formation enthalpy at 0 K**: 0.28 eV/f.u.
**Total magnetization**: 3.41 μB per formula unit
**E**: -117.76 eV per cell

abc: 3.742 3.742 4.424
angles: 115.02 115.02 90.00
Last column: magnetic moment on the atom in μB.
Positions (direct):
Cu: 0.500 0.500 0.000  0.01
Fe: 0.250 0.750 0.500  2.14
Fe: 0.750 0.250 0.500  2.14
Ta: 0.000 0.000 0.000  -0.63

=====

No. 17
Computed, not measured: a crystal of TaFeCu2 relaxed with PBEsol at the meta-GGA SCAN level of DFT.

Computed properties:
**Formation enthalpy at 0 K**: 0.38 eV/f.u.
**Total magnetization**: 1.26 μB per formula unit
**E**: -114.73 eV per cell

abc: 3.099 3.077 5.358
angles: 90.00 90.00 90.00
Last column: magnetic moment on the atom in μB.
Positions (direct):
Cu: 0.000 0.000 0.025  0.00
Cu: 0.500 0.500 0.240  0.02
Fe: 0.000 0.000 0.503  1.63
Ta: 0.500 0.500 0.732  -0.29

=====

No. 18
Computed, not measured: a crystal of Ta3FeCu relaxed with PBEsol at the meta-GGA SCAN level of DFT.

Computed properties:
**Formation enthalpy at 0 K**: 4.84 eV/f.u.
**Total magnetization**: 0.00 μB per formula unit
**E**: -228.23 eV per cell

abc: 4.489 4.489 4.489
angles: 90.00 90.00 90.00
Positions (direct):
Fe: 0.000 0.000 0.000
Cu: 0.500 0.500 0.500
Ta: 0.000 0.500 0.000
Ta: 0.000 0.000 0.500
Ta: 0.500 0.000 0.000

=====

No. 19
Computed, not measured: a crystal of TaFe2Cu relaxed with PBEsol at the meta-GGA SCAN level of DFT.

Computed properties:
**Formation enthalpy at 0 K**: 0.42 eV/f.u.
**Total magnetization**: 5.03 μB per formula unit
**E**: -117.62 eV per cell

abc: 2.596 2.596 7.898
angles: 90.00 90.00 103.75
Last column: magnetic moment on the atom in μB.
Positions (direct):
Cu: 0.500 0.500 0.232  0.05
Fe: 0.000 0.000 0.995  2.86
Fe: 0.500 0.500 0.768  2.48
Ta: 0.000 0.000 0.505  -0.15

=====

No. 20
Computed, not measured: a crystal of TaFe3Cu relaxed with PBEsol at the meta-GGA SCAN level of DFT.

Computed properties:
**Formation enthalpy at 0 K**: 8.75 eV/f.u.
**Total magnetization**: 5.68 μB per formula unit
**E**: -127.42 eV per cell

abc: 4.404 4.404 4.404
angles: 90.00 90.00 90.00
Last column: magnetic moment on the atom in μB.
Positions (direct):
Fe: 0.000 0.500 0.000  2.23
Fe: 0.000 0.000 0.500  2.23
Fe: 0.500 0.000 0.000  2.23
Cu: 0.500 0.500 0.500  0.00
Ta: 0.000 0.000 0.000  -0.80

=====

No. 21
Computed, not measured: a crystal of TaTl2FeCu relaxed with PBEsol at the meta-GGA SCAN level of DFT.

Computed properties:
**Formation enthalpy at 0 K**: 6.57 eV/f.u.
**Total magnetization**: 4.13 μB per formula unit
**E**: -238.06 eV per cell

abc: 4.360 4.815 4.815
angles: 90.00 90.00 90.00
Last column: magnetic moment on the atom in μB.
Positions (direct):
Tl: 0.000 0.000 0.500  -0.05
Tl: 0.000 0.500 0.000  -0.05
Fe: 0.000 0.000 0.000  2.51
Cu: 0.500 0.000 0.000  0.10
Ta: 0.500 0.500 0.500  1.23

=====

No. 22
Computed, not measured: a crystal of FeCuTc3 relaxed with PBEsol at the meta-GGA SCAN level of DFT.

Computed properties:
**Formation enthalpy at 0 K**: 9.15 eV/f.u.
**Total magnetization**: 0.88 μB per formula unit
**E**: -129.36 eV per cell

abc: 4.337 4.337 4.337
angles: 90.00 90.00 90.00
Last column: magnetic moment on the atom in μB.
Positions (direct):
Tc: 0.000 0.500 0.000  -0.77
Tc: 0.000 0.000 0.500  -0.77
Tc: 0.500 0.000 0.000  -0.77
Cu: 0.000 0.000 0.000  -0.16
Fe: 0.500 0.500 0.500  3.52

=====

No. 23
Computed, not measured: a crystal of Fe2CuTc relaxed with PBEsol at the meta-GGA SCAN level of DFT.

Computed properties:
**Formation enthalpy at 0 K**: 0.88 eV/f.u.
**Total magnetization**: 1.18 μB per formula unit
**E**: -85.63 eV per cell

abc: 2.519 2.519 7.270
angles: 90.00 90.00 90.00
Last column: magnetic moment on the atom in μB.
Positions (direct):
Cu: 0.500 0.500 0.764  0.03
Fe: 0.000 0.000 0.012  2.68
Fe: 0.500 0.500 0.237  -1.50
Tc: 0.000 0.000 0.488  0.08

=====

No. 24
Computed, not measured: a crystal of Fe2CuTc relaxed with PBEsol at the meta-GGA SCAN level of DFT.

Computed properties:
**Formation enthalpy at 0 K**: 0.68 eV/f.u.
**Total magnetization**: 5.26 μB per formula unit
**E**: -85.84 eV per cell

abc: 2.983 2.983 5.285
angles: 90.00 90.00 90.00
Last column: magnetic moment on the atom in μB.
Positions (direct):
Cu: 0.500 0.500 0.500  0.10
Fe: 0.000 0.000 0.734  2.75
Fe: 0.000 0.000 0.266  2.75
Tc: 0.500 0.500 0.000  -0.21

=====

No. 25
Computed, not measured: a crystal of Fe2CuTc relaxed with PBEsol at the meta-GGA SCAN level of DFT.

Computed properties:
**Formation enthalpy at 0 K**: 0.79 eV/f.u.
**Total magnetization**: 4.52 μB per formula unit
**E**: -85.73 eV per cell

abc: 2.811 4.105 4.789
angles: 115.38 107.07 90.00
Last column: magnetic moment on the atom in μB.
Positions (direct):
Cu: 0.261 0.761 0.521  0.04
Fe: 0.012 0.012 0.024  2.51
Fe: 0.740 0.240 0.481  2.45
Tc: 0.487 0.487 0.974  -0.36

=====

No. 26
Computed, not measured: a crystal of Fe2CuTc relaxed with PBEsol at the meta-GGA SCAN level of DFT.

Computed properties:
**Formation enthalpy at 0 K**: 0.84 eV/f.u.
**Total magnetization**: 4.72 μB per formula unit
**E**: -85.68 eV per cell

abc: 2.557 2.557 8.443
angles: 81.29 81.29 60.00
Last column: magnetic moment on the atom in μB.
Positions (direct):
Cu: 0.253 0.253 0.241  0.04
Fe: 0.002 0.002 0.993  2.85
Fe: 0.749 0.749 0.754  2.32
Tc: 0.496 0.496 0.513  -0.37

=====

No. 27
Computed, not measured: a crystal of Fe2CuTc relaxed with PBEsol at the meta-GGA SCAN level of DFT.

Computed properties:
**Formation enthalpy at 0 K**: 0.79 eV/f.u.
**Total magnetization**: 4.91 μB per formula unit
**E**: -85.73 eV per cell

abc: 2.527 4.451 4.451
angles: 110.41 90.00 90.00
Last column: magnetic moment on the atom in μB.
Positions (direct):
Cu: 0.500 0.500 0.500  0.08
Fe: 0.000 0.500 0.000  2.57
Fe: 0.000 0.000 0.500  2.57
Tc: 0.500 0.000 0.000  -0.19

=====

No. 28
Computed, not measured: a crystal of Ti2FeCu relaxed with PBEsol at the meta-GGA SCAN level of DFT.

Computed properties:
**Formation enthalpy at 0 K**: -0.87 eV/f.u.
**Total magnetization**: 0.00 μB per formula unit
**E**: -66.26 eV per cell

abc: 2.909 2.909 6.225
angles: 90.00 90.00 90.00
Positions (direct):
Fe: 0.000 0.000 0.500
Cu: 0.000 0.000 0.000
Ti: 0.500 0.500 0.264
Ti: 0.500 0.500 0.736